## a
GeP2RhO (PBE-GGA, relaxed); ρ = 5.33 Mg/m³; N(E_F) = 4.7 states/eV/f.u.; volume = 15.801 A^3/atom
1.0
-3.258 2.845 -2.016
-3.434 -3.096 1.180
-0.439 1.641 3.025
P Ge Rh O
2 1 1 1
Direct
0.000 0.500 0.000
0.500 0.000 0.000
0.000 0.000 0.000
0.500 0.500 0.500
0.000 0.000 0.500


## b
GeP2RhO (PBE-GGA, relaxed); ρ = 4.88 Mg/m³; N(E_F) = 4.6 states/eV/f.u.; volume = 17.246 A^3/atom
1.0
4.837 0.000 0.000
0.000 4.837 0.000
0.000 0.000 3.685
P Ge Rh O
2 1 1 1
Direct
0.000 0.500 0.000
0.500 0.000 0.000
0.500 0.500 0.500
0.000 0.000 0.000
0.000 0.000 0.500


Referenced to the most stable arrangement, the calculated values in eV/atom are a 0.147; b 0.000.


## a
GeP2SO (PBE-GGA, relaxed); ρ = 3.01 Mg/m³; N(E_F) = 6.5 states/eV/f.u.; volume = 20.160 A^3/atom
1.0
4.725 0.000 0.000
0.000 4.725 0.000
0.000 0.000 4.515
P Ge S O
2 1 1 1
Direct
0.000 0.500 0.000
0.500 0.000 0.000
0.000 0.000 0.000
0.000 0.000 0.500
0.500 0.500 0.500


## b
GeP2SO (PBE-GGA, relaxed); ρ = 3.99 Mg/m³; N(E_F) = 3.3 states/eV/f.u.; volume = 15.211 A^3/atom
1.0
-2.714 -2.966 -2.361
-2.352 -0.960 3.910
-2.231 2.602 -0.703
P Ge S O
2 1 1 1
Direct
0.000 0.500 0.000
0.500 0.000 0.000
0.500 0.500 0.500
0.000 0.000 0.000
0.000 0.000 0.500


Referenced to the most stable arrangement, the calculated values in eV/atom are a 0.949; b 0.000.


## a
GeP2SO (PBE-GGA, relaxed); ρ = 3.64 Mg/m³; N(E_F) = 3.6 states/eV/f.u.; volume = 16.648 A^3/atom
1.0
4.836 0.000 0.000
0.000 4.836 0.000
0.000 0.000 3.560
P Ge S O
2 1 1 1
Direct
0.000 0.500 0.000
0.500 0.000 0.000
0.000 0.000 0.000
0.500 0.500 0.500
0.000 0.000 0.500


## b
GeP2SO (PBE-GGA, relaxed); ρ = 3.35 Mg/m³; N(E_F) = 3.8 states/eV/f.u.; volume = 18.101 A^3/atom
1.0
3.803 0.000 0.000
0.000 3.803 0.000
0.000 0.000 6.257
P Ge S O
2 1 1 1
Direct
0.000 0.500 0.000
0.500 0.000 0.000
0.500 0.500 0.500
0.000 0.000 0.500
0.000 0.000 0.000


Referenced to the most stable arrangement, the calculated values in eV/atom are a 0.013; b 0.000.